[1]
This record from Alexandria describes crystalline SrSm2Pt9 at its relaxed geometry. The functional is GGA-PBE.

```
12
Lattice="2.750 1.588 8.850 -2.750 1.588 8.850 0.000 -3.176 8.850" Properties=species:S:1:pos:R:3 pbc="T T T"
Sr 0.000 0.000 0.000
Sm 0.000 0.000 3.704
Sm 0.000 0.000 22.847
Pt -1.393 -0.804 11.111
Pt 0.000 0.000 8.824
Pt 0.000 -1.609 15.440
Pt -1.393 0.804 15.440
Pt 0.000 0.000 13.276
Pt 1.393 -0.804 11.111
Pt 0.000 1.609 11.111
Pt 0.000 0.000 17.727
Pt 1.393 0.804 15.440
```

Properties
Space-group type: No. 166
Calculated total energy, eV per cell: -75.831
Formation enthalpy at 0 K, meV/atom: -862

---

[2]
This record from Alexandria describes crystalline Sr3SmPt8 at its relaxed geometry. The functional is GGA-PBE.

```
12
Lattice="2.779 1.604 9.042 -2.779 1.604 9.042 0.000 -3.209 9.042" Properties=species:S:1:pos:R:3 pbc="T T T"
Sr 0.000 0.000 0.000
Sr 0.000 0.000 3.366
Sr 0.000 0.000 17.009
Sm 0.000 0.000 13.599
Pt 0.000 -1.591 6.183
Pt -1.378 0.795 6.183
Pt -1.377 -0.795 10.803
Pt 0.000 0.000 8.493
Pt 1.378 0.795 6.183
Pt 1.377 -0.795 10.803
Pt 0.000 1.590 10.803
Pt 0.000 0.000 22.058
```

Properties
Space-group type: No. 160
Calculated total energy, eV per cell: -69.075
Formation enthalpy at 0 K, meV/atom: -915

---

[3]
This record from Alexandria describes crystalline SrSm2Pt at its relaxed geometry. The functional is GGA-PBE.

```
4
Lattice="3.657 0.000 0.000 0.000 3.657 0.000 0.000 0.000 9.853" Properties=species:S:1:pos:R:3 pbc="T T T"
Sr 0.000 0.000 0.000
Sm 1.829 1.829 3.289
Sm 1.829 1.829 6.564
Pt 0.000 0.000 4.927
```

Properties
Space-group type: No. 123
Calculated total energy, eV per cell: -19.047
Formation enthalpy at 0 K, meV/atom: -472